1.
Na2ZrSnTe4 | PBE-GGA | relaxed

Cell and atoms, written as POSCAR:
```
Na2ZrSnTe4
1.0
4.318 0.000 0.000
0.000 7.740 0.233
0.000 -2.609 7.387
Te Sn Na Zr
4 1 2 1
Direct
0.500 0.263 0.228
0.500 0.737 0.772
0.000 0.273 0.780
0.000 0.727 0.220
0.000 0.000 0.000
0.000 0.500 0.500
0.500 0.000 0.500
0.500 0.500 0.000
```

Output
Size of the total moment in μB/f.u.: 0.000
Formation energy from raw total energies in kJ/mol of atoms: -73.45

---

2.
Tb5Pr12Er2 | PBE-GGA | relaxed

Cell and atoms, written as POSCAR:
```
Tb5Pr12Er2
1.0
7.601 0.000 0.000
-3.800 8.803 4.039
0.000 0.403 10.094
Er Pr Tb
2 12 5
Direct
0.700 0.000 0.000
0.300 0.000 0.000
0.491 0.982 0.330
0.509 0.018 0.670
0.004 0.007 0.791
0.591 0.679 0.848
0.597 0.670 0.497
0.996 0.993 0.209
0.073 0.670 0.497
0.088 0.679 0.848
0.912 0.321 0.152
0.927 0.330 0.503
0.403 0.330 0.503
0.409 0.321 0.152
0.174 0.349 0.829
0.826 0.651 0.171
0.000 0.000 0.500
0.322 0.644 0.194
0.678 0.356 0.806
```

Output
Energy of formation from the pure elements in meV/atom: 165.4
Size of the total moment in μB/f.u.: 0.000

---

3.
Li4AgAu3 | PBE-GGA | relaxed

Cell and atoms, written as POSCAR:
```
Li4AgAu3
1.0
2.919 0.000 0.000
0.000 4.454 -0.440
-1.459 -1.258 10.896
Ag Au Li
1 3 4
Direct
0.500 0.000 0.000
0.159 0.155 0.318
0.000 0.500 0.000
0.841 0.845 0.682
0.280 0.280 0.560
0.398 0.401 0.796
0.720 0.720 0.440
0.602 0.599 0.204
```

Output
Energy of formation from the pure elements in meV/atom: -310.4
Size of the total moment in μB/f.u.: 0.000

---

4.
Ce2InSb3Pd4 | PBE-GGA | relaxed

Cell and atoms, written as POSCAR:
```
Ce2InSb3Pd4
1.0
4.475 0.000 0.000
0.000 4.475 0.000
0.000 0.000 11.238
Pd In Ce Sb
4 1 2 3
Direct
0.000 0.500 0.362
0.000 0.000 0.000
0.500 0.500 0.000
0.500 0.000 0.638
0.500 0.500 0.500
0.000 0.500 0.765
0.500 0.000 0.235
0.000 0.500 0.133
0.000 0.000 0.500
0.500 0.000 0.867
```

Output
Size of the total moment in μB/f.u.: 1.713
Formation energy from raw total energies in kJ/mol of atoms: -74.03

---

5.
Rb2CaCl2 | PBE-GGA | relaxed

Cell and atoms, written as POSCAR:
```
Rb2CaCl2
1.0
8.702 0.000 0.000
0.000 8.702 0.000
0.000 0.000 4.824
Ca Cl Rb
2 4 4
Direct
0.000 0.000 0.000
0.500 0.500 0.000
0.166 0.334 0.000
0.666 0.166 0.000
0.834 0.666 0.000
0.334 0.834 0.000
0.851 0.351 0.500
0.351 0.149 0.500
0.649 0.851 0.500
0.149 0.649 0.500
```

Output
Size of the total moment in μB/f.u.: 0.000
Formation energy from raw total energies in kJ/mol of atoms: -121.86

---

6.
Cr2ReSe | PBE-GGA | relaxed

Cell and atoms, written as POSCAR:
```
Cr2ReSe
1.0
4.689 -0.005 0.022
3.768 2.791 0.022
0.650 0.214 4.269
Cr Re Se
2 1 1
Direct
0.993 0.993 0.007
0.249 0.249 0.253
0.510 0.510 0.464
0.748 0.748 0.776
```

Output
Size of the total moment in μB/f.u.: 0.523
Formation energy from raw total energies in kJ/mol of atoms: 34.35

---

7.
La2MoRu | PBE-GGA | relaxed

Cell and atoms, written as POSCAR:
```
La2MoRu
1.0
3.312 -0.005 0.000
-1.011 3.155 0.000
0.000 0.000 8.658
Mo La Ru
1 2 1
Direct
0.500 0.500 0.250
0.000 0.000 0.516
0.000 0.000 0.984
0.500 0.500 0.750
```

Output
Energy of formation from the pure elements in meV/atom: 434.2
Size of the total moment in μB/f.u.: 0.041

---

8.
Ag3HgF6 | PBE-GGA | relaxed

Cell and atoms, written as POSCAR:
```
Ag3HgF6
1.0
3.634 0.000 0.000
0.000 7.130 -0.271
0.000 -2.499 6.683
F Ag Hg
6 3 1
Direct
0.000 0.923 0.674
0.000 0.674 0.923
0.000 0.326 0.077
0.500 0.620 0.380
0.000 0.077 0.326
0.500 0.380 0.620
0.500 0.500 0.000
0.000 0.000 0.000
0.500 0.000 0.500
0.000 0.500 0.500
```

Output
Size of the total moment in μB/f.u.: 0.944
Formation energy from raw total energies in kJ/mol of atoms: -111.61